Computed, not measured: Ba2AgGe after structural relaxation at the PBE-GGA level of DFT.

## Properties
E_form   -1.347 eV per formula unit
Calculated total energy   -0.1163 Ha/atom

Unit cell a=3.9532 b=5.8877 c=5.8877 alpha=90.00 beta=90.00 gamma=90.00
Closest atoms and distances in Å follow each position.
Atoms (fractional coordinates):
Ba 0.0000 0.0000 0.5000  4 Ge 3.55, 4 Ag 3.55, 2 Ba 3.95
Ba 0.0000 0.5000 0.0000  4 Ge 3.55, 4 Ag 3.55, 2 Ba 3.95
Ge 0.5000 0.5000 0.5000  8 Ba 3.55, 2 Ge 3.95
Ag 0.5000 0.0000 0.0000  8 Ba 3.55, 2 Ag 3.95



Computed, not measured: Ba3Ag4Ge4 after structural relaxation at the PBE-GGA level of DFT.

## Properties
E_form   -4.087 eV per formula unit
Calculated total energy   -0.1327 Ha/atom
Energy above the most stable polymorph in this dataset   0.000 eV per formula unit

Unit cell a=4.7373 b=4.6621 c=13.7191 alpha=80.27 beta=80.05 gamma=89.95
Closest atoms and distances in Å follow each position.
Atoms (fractional coordinates):
Ba 0.0000 0.0000 0.0000  4 Ag 3.51-3.52, 8 Ge 3.55-3.56
Ba 0.8503 0.3500 0.2997  8 Ag 3.53-3.61, 6 Ge 3.56-3.62
Ba 0.1498 0.6500 0.7003  8 Ag 3.53-3.61, 6 Ge 3.56-3.62
Ag 0.5972 0.0975 0.8049  3 Ge 2.69
Ag 0.4029 0.9025 0.1951  3 Ge 2.69
Ag 0.2486 0.2500 0.5008  4 Ge 2.71-2.73
Ag 0.7514 0.7500 0.4992  4 Ge 2.71-2.73
Ge 0.4522 0.4527 0.0940  1 Ge 2.50, 2 Ag 2.69
Ge 0.3022 0.8016 0.3970  5 Ag 2.69-2.73
Ge 0.5478 0.5473 0.9060  1 Ge 2.50, 2 Ag 2.69
Ge 0.6978 0.1984 0.6030  5 Ag 2.69-2.73



Computed, not measured: BaAg2Ge2 after structural relaxation at the PBE-GGA level of DFT.

## Properties
E_form   1.582 eV per formula unit
Calculated total energy   -0.1123 Ha/atom

Unit cell a=4.8951 b=4.8951 c=8.8372 alpha=106.08 beta=106.08 gamma=90.00
Closest atoms and distances in Å follow each position.
Atoms (fractional coordinates):
Ba 0.0000 0.0000 0.0000  2 Ge 3.20
Ge 0.8031 0.8031 0.6062  4 Ag 2.60
Ge 0.1969 0.1969 0.3938  4 Ag 2.60
Ag 0.2500 0.7500 0.5000  4 Ge 2.60
Ag 0.7500 0.2500 0.5000  4 Ge 2.60



Computed, not measured: BaAgGe2 after structural relaxation at the PBE-GGA level of DFT.

## Properties
E_form   -1.433 eV per formula unit
Calculated total energy   -0.1419 Ha/atom
Energy above the most stable polymorph in this dataset   0.098 eV per formula unit

Unit cell a=4.5825 b=6.7153 c=7.4785 alpha=90.00 beta=90.00 gamma=109.95
Closest atoms and distances in Å follow each position.
Atoms (fractional coordinates):
Ba 0.8489 0.6979 0.2500  5 Ag 3.38-3.76, 6 Ge 3.40-3.51
Ba 0.1511 0.3021 0.7500  5 Ag 3.38-3.76, 6 Ge 3.40-3.51
Ge 0.5919 0.1838 0.0708  2 Ge 2.55-2.68, 2 Ag 2.67
Ge 0.4081 0.8162 0.9292  2 Ge 2.55-2.68, 2 Ag 2.67
Ge 0.4081 0.8162 0.5708  2 Ge 2.55-2.68, 2 Ag 2.67
Ge 0.5919 0.1838 0.4292  2 Ge 2.55-2.68, 2 Ag 2.67
Ag 0.1169 0.2338 0.2500  4 Ge 2.67
Ag 0.8831 0.7662 0.7500  4 Ge 2.67



Computed, not measured: Ba2AgGe2 after structural relaxation at the PBE-GGA level of DFT.

## Properties
E_form   -1.837 eV per formula unit
Calculated total energy   -0.1306 Ha/atom
Energy above the most stable polymorph in this dataset   0.048 eV per formula unit

Unit cell a=4.6310 b=4.6802 c=7.3902 alpha=108.46 beta=90.00 gamma=90.00
Closest atoms and distances in Å follow each position.
Atoms (fractional coordinates):
Ge 0.5000 0.5013 0.0025  1 Ge 2.56, 2 Ag 2.79
Ge 0.5000 0.3187 0.6374  1 Ge 2.56
Ag 0.5000 0.1095 0.2190  3 Ge 2.79-2.93
Ba 0.0000 0.6846 0.3693  1 Ba 3.41, 4 Ag 3.46, 6 Ge 3.46-3.79
Ba 0.0000 0.9280 0.8560  1 Ba 3.41, 2 Ag 3.44, 8 Ge 3.45-3.63



Computed, not measured: BaAgGe2 after structural relaxation at the PBE-GGA level of DFT.

## Properties
E_form   0.054 eV per formula unit
Calculated total energy   -0.1282 Ha/atom
Energy above the most stable polymorph in this dataset   1.585 eV per formula unit

Unit cell a=5.2161 b=5.2161 c=5.2161 alpha=60.00 beta=60.00 gamma=60.00
Closest atoms and distances in Å follow each position.
Atoms (fractional coordinates):
Ag 0.0000 0.0000 0.0000  8 Ge 3.19
Ge 0.2500 0.2500 0.2500  4 Ba 3.19, 4 Ag 3.19
Ge 0.7500 0.7500 0.7500  4 Ba 3.19, 4 Ag 3.19
Ba 0.5000 0.5000 0.5000  8 Ge 3.19



Q: E_form of number 3 (BaAg2Ge2)?
A: 1.582 eV per formula unit